Entry from the Open Quantum Materials Database: Lu2GeIr after structural relaxation (GGA-PBE).

Cell lengths 6.742, 6.742, 6.742 Å; angles 90.00, 90.00, 90.00 degrees
Space group F-43m (No. 216)
Symmetry-distinct sites (fractional):
Lu: 0.000 0.000 0.000 [4 per cell]
Lu: 0.250 0.250 0.250 [4 per cell]
Ge: 0.000 0.000 0.500 [4 per cell]
Ir: 0.250 0.250 0.750 [4 per cell]

Results
Its total energy is -6.010 eV/atom. Its crystal system is cubic.

=====

Entry from the Open Quantum Materials Database: LuGeIr after structural relaxation (GGA-PBE).

Cell lengths 6.718, 4.246, 7.611 Å; angles 90.00, 90.00, 90.00 degrees
Space group Pnma (No. 62)
Symmetry-distinct sites (fractional):
Lu: 0.012 0.250 0.191 [4 per cell]
Ge: 0.213 0.750 0.385 [4 per cell]
Ir: 0.162 0.250 0.562 [4 per cell]

Results
Its total energy is -6.952 eV/atom. Its crystal system is orthorhombic.

=====

Entry from the Open Quantum Materials Database: LuNiGeIr after structural relaxation (GGA-PBE).

Cell lengths 6.428, 6.428, 6.428 Å; angles 90.00, 90.00, 90.00 degrees
Space group F-43m (No. 216)
Symmetry-distinct sites (fractional):
Lu: 0.000 0.000 0.000 [4 per cell]
Ni: 0.000 0.000 0.500 [4 per cell]
Ge: 0.250 0.250 0.250 [4 per cell]
Ir: 0.250 0.250 0.750 [4 per cell]

Results
Its total energy is -6.072 eV/atom. Its crystal system is cubic.